Here is HfScH2 at its PBEsol-relaxed geometry from Alexandria. Energies are from meta-GGA SCAN.

Results
- DFT total energy: -20.586 eV per atom
- Density of states at the Fermi level: 3.6 states/eV per cell
- Theoretical density: 8.1 g/cm³

Lattice parameters (Å, degrees): 4.0300 4.0300 4.0300 60.00 60.00 60.00
Closest atoms and distances in Å follow each position.
Atoms (fractional coordinates):
Hf  0.0000  0.0000  0.0000  8 H 2.47
Sc  0.5000  0.5000  0.5000  8 H 2.47
H  0.2500  0.2500  0.2500  4 Hf 2.47, 4 Sc 2.47
H  0.7500  0.7500  0.7500  4 Hf 2.47, 4 Sc 2.47